This record from Alexandria via LeMat-Bulk describes Mg2CuRu after structural relaxation. The functional is PBE-GGA.

Lattice parameters (Å, degrees): 4.1867 4.1867 3.4803 90.00 90.00 90.00
Space group P4/mmm (No. 123)
Unique sites:
Mg1 0.0000 0.5000 0.0000 (multiplicity 2)
Cu1 0.0000 0.0000 0.5000 (multiplicity 1)
Ru1 0.5000 0.5000 0.5000 (multiplicity 1)

Calculated values
**VASP energy**: -4.18 eV per atom
**ΔH_f (0 K)**: -0.04 eV per atom
**D(E_F)**: 0.460 states/eV/atom